(1)
Material: Rb2In7Ge
Method: DFT, PBE
State: relaxed

Cell and atoms, written as POSCAR:
```
Rb2In7Ge
1.0
4.970 0.000 0.000
0.000 4.970 0.000
0.000 0.000 12.722
In Rb Ge
7 2 1
direct
0.500 0.000 0.361 In
0.500 0.000 0.129 In
0.500 0.500 0.500 In
0.000 0.500 0.639 In
0.000 0.500 0.871 In
0.000 0.000 0.000 In
0.000 0.000 0.500 In
0.000 0.500 0.244 Rb
0.500 0.000 0.756 Rb
0.500 0.500 0.000 Ge
```

Summary:
The density of states at the Fermi level comes out at 3.94 states/eV/f.u. The value obtained for the raw total energy is -26.6 eV per cell. For the formation enthalpy at 0 K, the calculation gives -0.9 eV/f.u.

---

(2)
Material: RbIn3Ge
Method: DFT, PBE
State: relaxed

Cell and atoms, written as POSCAR:
```
RbIn3Ge
1.0
-0.021 1.811 -5.857
-6.109 -0.489 -0.129
-0.505 5.836 1.807
Rb In Ge
1 3 1
direct
0.000 0.000 0.000 Rb
0.000 0.500 0.000 In
0.000 0.000 0.500 In
0.500 0.000 0.000 In
0.500 0.500 0.500 Ge
```

Summary:
The density of states at the Fermi level comes out at 4.26 states/eV/f.u. The value obtained for the raw total energy is -7.8 eV per cell. For the formation enthalpy at 0 K, the calculation gives 6.0 eV/f.u. The calculation puts the polymorph energy (0 for the lowest one) at 1224 meV per atom.

---

(3)
Material: RbIn4Ge3
Method: DFT, PBE
State: relaxed

Cell and atoms, written as POSCAR:
```
RbIn4Ge3
1.0
4.865 0.000 0.000
0.000 4.865 0.000
0.000 0.000 9.659
Ge In Rb
3 4 1
direct
0.000 0.000 0.000 Ge
0.500 0.500 0.669 Ge
0.500 0.500 0.331 Ge
0.000 0.500 0.171 In
0.500 0.000 0.829 In
0.000 0.500 0.829 In
0.500 0.000 0.171 In
0.000 0.000 0.500 Rb
```

Summary:
The density of states at the Fermi level comes out at 1.74 states/eV/f.u. The value obtained for the raw total energy is -25.6 eV per cell. For the formation enthalpy at 0 K, the calculation gives 0.1 eV/f.u.